The following is a PBE calculation of CeThCI after structural relaxation, from the Alexandria database.

```
CeThCI
1.0
3.784 -0.001 0.000
-1.892 3.280 0.000
-1.891 -1.093 7.972
Ce Th C I
1 1 1 1
Cartesian
0.357 -0.240 5.528
-1.535 3.041 0.341
-1.534 0.853 6.903
2.249 0.853 2.930
```

Computed properties:
- Formation energy (no corrections): -641 meV per atom
- Crystal system: trigonal
- V: 24.73 Å³/atom
- Magnetic moment: 1.078 μB/cell
- Space group: R3m, No. 160